Entry 1:
The following is a GGA+U calculation of a relaxed CrSeI2O crystal, from Alexandria.

Output
* E: -3.58 eV per atom
* distance to the lowest polymorph of the same formula: 0.149 eV per atom

Lattice parameters (Å, degrees): 5.592 5.592 3.602 90.00 90.00 90.00
Element x y z (fractional)
I 0.000 0.500 0.000
I 0.500 0.000 0.000
Cr 0.000 0.000 0.000
O 0.000 0.000 0.500
Se 0.500 0.500 0.500


Entry 2:
The following is a GGA+U calculation of a relaxed CrSiI2O crystal, from Alexandria.

Output
* E: -4.52 eV per atom
* distance to the lowest polymorph of the same formula: 0.000 eV per atom

Lattice parameters (Å, degrees): 5.712 5.712 3.562 90.00 90.00 90.00
Element x y z (fractional)
I 0.000 0.500 0.000
I 0.500 0.000 0.000
Cr 0.500 0.500 0.500
Si 0.000 0.000 0.000
O 0.000 0.000 0.500


Entry 3:
The following is a GGA+U calculation of a relaxed CrSiIO2 crystal, from Alexandria.

Output
* E: -5.55 eV per atom
* distance to the lowest polymorph of the same formula: 0.000 eV per atom

Lattice parameters (Å, degrees): 3.682 3.682 5.982 90.00 90.00 90.00
Element x y z (fractional)
I 0.000 0.000 0.500
Cr 0.500 0.500 0.500
Si 0.000 0.000 0.000
O 0.000 0.500 0.000
O 0.500 0.000 0.000


Entry 4:
The following is a GGA+U calculation of a relaxed CrSiI2O crystal, from Alexandria.

Output
* E: -4.29 eV per atom
* distance to the lowest polymorph of the same formula: 0.237 eV per atom

Lattice parameters (Å, degrees): 5.744 5.744 3.700 90.00 90.00 90.00
Element x y z (fractional)
I 0.000 0.500 0.000
I 0.500 0.000 0.000
Cr 0.000 0.000 0.000
Si 0.500 0.500 0.500
O 0.000 0.000 0.500


Entry 5:
The following is a GGA+U calculation of a relaxed CrSiIO2 crystal, from Alexandria.

Output
* E: -5.04 eV per atom
* distance to the lowest polymorph of the same formula: 0.511 eV per atom

Lattice parameters (Å, degrees): 3.855 3.855 6.597 90.00 90.00 90.00
Element x y z (fractional)
I 0.000 0.000 0.500
Cr 0.000 0.000 0.000
Si 0.500 0.500 0.500
O 0.000 0.500 0.000
O 0.500 0.000 0.000


Entry 6:
The following is a GGA+U calculation of a relaxed SmCrIO4 crystal, from Alexandria.

Output
* E: -6.63 eV per atom

Lattice parameters (Å, degrees): 6.677 6.677 6.691 80.14 80.14 63.45
Element x y z (fractional)
Sm 0.269 0.269 0.859
Sm 0.731 0.731 0.141
Cr 0.632 0.632 0.734
Cr 0.368 0.368 0.266
I 0.013 0.013 0.257
I 0.987 0.987 0.743
O 0.297 0.297 0.510
O 0.703 0.703 0.490
O 0.128 0.503 0.136
O 0.518 0.518 0.229
O 0.497 0.872 0.864
O 0.503 0.128 0.136
O 0.482 0.482 0.771
O 0.872 0.497 0.864


Entry 7:
The following is a GGA+U calculation of a relaxed CrSnI2O crystal, from Alexandria.

Output
* E: -4.40 eV per atom
* distance to the lowest polymorph of the same formula: 0.000 eV per atom

Lattice parameters (Å, degrees): 5.932 5.932 3.750 90.00 90.00 90.00
Element x y z (fractional)
I 0.000 0.500 0.000
I 0.500 0.000 0.000
Cr 0.000 0.000 0.000
Sn 0.500 0.500 0.500
O 0.000 0.000 0.500


Entry 8:
The following is a GGA+U calculation of a relaxed CrSnI2O crystal, from Alexandria.

Output
* E: -4.15 eV per atom
* distance to the lowest polymorph of the same formula: 0.252 eV per atom

Lattice parameters (Å, degrees): 6.139 6.139 4.056 90.00 90.00 90.00
Element x y z (fractional)
I 0.000 0.500 0.000
I 0.500 0.000 0.000
Cr 0.500 0.500 0.500
Sn 0.000 0.000 0.000
O 0.000 0.000 0.500


Question: Among the records above, which one has the lowest E?
Answer: SmCrIO4


Question: Look up the E of the sixth one.
Answer: -6.63 eV per atom


Question: Look up the E of the fourth one.
Answer: -4.29 eV per atom